(1)
Entry from Alexandria: CdHgSe2 after structural relaxation (PBE).

- magnetization (μB per atom) = 0.000
- raw formation energy (meV per atom) = -282
- E_tot (eV/atom) = -2.33
- D(E_F) (states/eV/cell) = 0.0
- crystal system = monoclinic
- E above lowest polymorph (meV/atom) = 136

Geometry as extended XYZ:
```
16
Lattice="7.5953 0.0000 0.0000 0.0000 4.2643 0.0000 -6.8717 0.0000 14.0739" Properties=species:S:1:pos:R:3 pbc="T T T"
Cd -0.4876 1.0012 2.5061
Cd -3.9235 1.1310 9.5430
Cd 4.6471 3.1334 4.5309
Cd 1.2112 3.2631 11.5678
Hg -2.3152 2.8923 12.1627
Hg 1.1207 3.5042 5.1258
Hg -0.3971 0.7602 8.9481
Hg 3.0388 1.3720 1.9112
Se -4.1940 0.3663 12.1973
Se -0.7582 1.7659 5.1604
Se 1.0300 2.8789 1.5066
Se -2.4059 3.5176 8.5435
Se 3.1295 0.7467 5.5304
Se -0.3064 1.3855 12.5673
Se 1.4818 2.4985 8.9135
Se 4.9176 3.8980 1.8766
```

(2)
Entry from Alexandria: Y3Zn3Ga2 after structural relaxation (PBE).

- magnetization (μB per atom) = 0.000
- DFT formation energy (kJ per mole of atoms) = -49.0
- E_tot (eV/atom) = -4.17
- D(E_F) (states/eV/cell) = 9.2
- crystal system = orthorhombic

Geometry as extended XYZ:
```
16
Lattice="2.1877 -5.2802 0.0000 2.1877 5.2802 0.0000 0.0000 0.0000 14.6367" Properties=species:S:1:pos:R:3 pbc="T T T"
Y 2.1877 4.3037 8.9034
Y 2.1877 4.3037 13.0517
Y 2.1877 1.3621 10.9776
Y 2.1877 -1.3621 3.6592
Y 2.1877 -4.3037 1.5850
Y 2.1877 -4.3037 5.7333
Zn 2.1877 1.6603 3.6592
Zn 2.1877 1.2080 7.8414
Zn 2.1877 1.2080 14.1137
Zn 2.1877 -1.2080 0.5230
Zn 2.1877 -1.2080 6.7954
Zn 2.1877 -1.6603 10.9776
Ga 2.1877 3.1498 1.5105
Ga 2.1877 3.1498 5.8078
Ga 2.1877 -3.1498 8.8289
Ga 2.1877 -3.1498 13.1262
```

(3)
Entry from Alexandria: K5Sr3Cl12 after structural relaxation (PBE).

- magnetization (μB per atom) = 0.068
- raw formation energy (meV per atom) = -1934
- E_tot (eV/atom) = -3.57
- D(E_F) (states/eV/cell) = 87.5
- crystal system = cubic

Geometry as extended XYZ:
```
80
Lattice="-8.8431 8.8431 8.8431 8.8431 -8.8431 8.8431 8.8431 8.8431 -8.8431" Properties=species:S:1:pos:R:3 pbc="T T T"
K 0.0000 0.0000 0.0000
K 4.4216 4.4216 -4.4216
K 4.4216 -4.4216 4.4216
K 8.8431 0.0000 0.0000
K 13.2647 2.2108 0.0000
K 8.8431 -4.4216 6.6323
K 6.6323 8.8431 -4.4216
K 6.6323 0.0000 4.4216
K 4.4216 6.6323 0.0000
K 8.8431 4.4216 2.2108
K -4.4216 4.4216 4.4216
K 0.0000 8.8431 0.0000
K 0.0000 0.0000 8.8431
K 4.4216 4.4216 4.4216
K 0.0000 4.4216 6.6323
K 4.4216 2.2108 8.8431
K 2.2108 8.8431 4.4216
K 2.2108 0.0000 13.2647
K 0.0000 13.2647 2.2108
K -4.4216 6.6323 8.8431
Sr 4.4216 2.2108 0.0000
Sr 8.8431 4.4216 -2.2108
Sr 2.2108 0.0000 4.4216
Sr 11.0539 0.0000 4.4216
Sr 0.0000 4.4216 2.2108
Sr 4.4216 -2.2108 8.8431
Sr 4.4216 11.0539 0.0000
Sr 8.8431 4.4216 6.6323
Sr -2.2108 8.8431 4.4216
Sr 6.6323 8.8431 4.4216
Sr 0.0000 4.4216 11.0539
Sr 4.4216 6.6323 8.8431
Cl 2.7191 -0.3241 1.4653
Cl 10.5456 5.8868 -4.7456
Cl 8.5190 -1.4653 2.7191
Cl 13.5888 -1.7024 2.9563
Cl 11.5623 0.3241 1.4653
Cl 10.5456 -2.9563 4.7456
Cl 1.4653 2.7191 -0.3241
Cl 11.7994 4.0975 -1.7024
Cl 5.8868 4.7456 -1.7024
Cl 7.3779 2.7191 0.3241
Cl -0.3241 1.4653 2.7191
Cl 4.7456 -1.7024 5.8868
Cl 8.5190 7.3779 -2.7191
Cl 4.7456 1.7024 2.9563
Cl 7.3779 -2.7191 8.5190
Cl 5.8868 -4.7456 10.5456
Cl 2.9563 4.7456 1.7024
Cl 10.3084 6.1240 0.3241
Cl 2.7191 8.5190 -1.4653
Cl 10.5456 2.9563 4.0975
Cl 4.7456 10.5456 -2.9563
Cl 8.5190 1.4653 6.1240
Cl 1.7024 2.9563 4.7456
Cl 2.7191 0.3241 7.3779
Cl 6.1240 8.5190 1.4653
Cl 7.1407 5.8868 4.0975
Cl 0.3241 7.3779 2.7191
Cl 4.0975 -1.7024 11.7994
Cl -1.7024 5.8868 4.7456
Cl 6.1240 0.3241 10.3084
Cl -1.4653 2.7191 8.5190
Cl 5.8868 4.0975 7.1407
Cl 2.9563 13.5888 -1.7024
Cl 1.4653 11.5623 0.3241
Cl 4.0975 7.1407 5.8868
Cl 0.3241 1.4653 11.5623
Cl 4.0975 10.5456 2.9563
Cl 9.1672 7.3779 6.1240
Cl 1.4653 6.1240 8.5190
Cl 2.9563 4.0975 10.5456
Cl -2.9563 4.7456 10.5456
Cl 7.3779 6.1240 9.1672
Cl -1.7024 11.7994 4.0975
Cl -2.7191 8.5190 7.3779
Cl -4.7456 10.5456 5.8868
Cl 0.3241 10.3084 6.1240
Cl -1.7024 2.9563 13.5888
Cl 6.1240 9.1672 7.3779
```

(4)
Entry from Alexandria: LiAc3Pt2O8 after structural relaxation (PBE).

- magnetization (μB per atom) = 0.002
- raw formation energy (meV per atom) = -1789
- E_tot (eV/atom) = -6.50
- D(E_F) (states/eV/cell) = 7.4
- crystal system = trigonal

Geometry as extended XYZ:
```
14
Lattice="5.4237 0.0000 0.0000 -2.7119 4.6971 0.0000 0.0000 0.0000 8.0290" Properties=species:S:1:pos:R:3 pbc="T T T"
Li 0.0000 0.0000 0.0000
Ac 0.0000 0.0000 4.0145
Ac 0.0000 3.1314 0.9923
Ac 2.7119 1.5657 7.0367
Pt 0.0000 3.1314 5.3783
Pt 2.7119 1.5657 2.6507
O 0.0000 1.6026 6.7663
O -1.3240 3.8958 6.7663
O 0.0000 3.1314 3.4685
O 1.3879 0.8013 1.2626
O 1.3240 3.8958 6.7663
O 2.7119 1.5657 4.5605
O 4.0358 0.8013 1.2626
O 2.7119 3.0945 1.2626
```